This record from the Alexandria database describes crystalline YFeI2O at its relaxed geometry. The functional is PBE with a Hubbard U.

The polymorph energy (0 for the lowest one) comes out at 140 meV/atom. Its volume is 25.12 Å³ per atom. As for the crystal system: tetragonal. As for the raw total energy: -4.78 eV/atom. As for the space group: No. 123.

Lattice parameters (Å, degrees): 5.7904 5.7904 3.7464 90.00 90.00 90.00
With the nearest neighbours (Å) after each atom.
Fractional positions:
Y1 0.0000 0.0000 0.0000  8 I 3.45, 2 Y 3.75
Fe1 0.5000 0.5000 0.5000  2 O 1.87
I1 0.0000 0.5000 0.5000  2 Fe 2.90
I2 0.5000 0.0000 0.5000  2 Fe 2.90
O1 0.5000 0.5000 0.0000  2 Fe 1.87